(1)
Density functional theory data (PBE) for a relaxed structure of AlGe2C.

Values from the calculation:
Energy relative to the lowest polymorph listed for this composition ... 0 meV per atom
Theoretical density ... 4.32 Mg/m³
Total magnetization ... 0.000 μB/f.u.
ΔE_f ... 0.5613 eV per atom

POSCAR file:
```
AlGe2C
1.0
-2.684 2.684 4.911
2.684 -2.684 4.911
2.684 2.684 -4.911
Al Ge C
2 4 2
Direct
0.000 0.000 0.000
0.750 0.250 0.500
0.199 0.625 0.074
0.375 0.449 0.574
0.551 0.125 0.926
0.875 0.801 0.426
0.250 0.750 0.500
0.500 0.500 0.000
```

(2)
Density functional theory data (PBE) for a relaxed structure of AlGe2C2.

Values from the calculation:
Energy relative to the lowest polymorph listed for this composition ... 0 meV per atom
Theoretical density ... 4.63 Mg/m³
Total magnetization ... 0.000 μB/f.u.
ΔE_f ... 0.9260 eV per atom

POSCAR file:
```
AlGe2C2
1.0
-2.575 2.575 2.654
2.575 -2.575 2.654
2.575 2.575 -2.654
Al Ge C
1 2 2
Direct
0.000 0.000 0.000
0.250 0.750 0.500
0.750 0.250 0.500
0.374 0.374 0.000
0.626 0.626 0.000
```

(3)
Density functional theory data (PBE) for a relaxed structure of AlGe2C2.

Values from the calculation:
Energy relative to the lowest polymorph listed for this composition ... 94 meV per atom
Theoretical density ... 4.85 Mg/m³
Total magnetization ... 0.000 μB/f.u.
ΔE_f ... 1.0205 eV per atom

POSCAR file:
```
AlGe2C2
1.0
6.438 0.000 0.000
0.000 6.438 0.000
0.000 0.000 3.243
Al Ge C
2 4 4
Direct
0.000 0.000 0.000
0.500 0.500 0.000
0.132 0.368 0.500
0.368 0.868 0.500
0.632 0.132 0.500
0.868 0.632 0.500
0.246 0.254 0.000
0.254 0.754 0.000
0.746 0.246 0.000
0.754 0.746 0.000
```

(4)
Density functional theory data (PBE) for a relaxed structure of AlGeC2.

Values from the calculation:
Energy relative to the lowest polymorph listed for this composition ... 1257 meV per atom
Theoretical density ... 4.76 Mg/m³
Total magnetization ... 0.000 μB/f.u.
ΔE_f ... 1.7926 eV per atom

POSCAR file:
```
AlGeC2
1.0
0.000 2.784 2.784
2.784 0.000 2.784
2.784 2.784 0.000
Al Ge C
1 1 2
Direct
0.000 0.000 0.000
0.500 0.500 0.500
0.250 0.250 0.250
0.750 0.750 0.750
```